Below is crystalline ZrReMo2 at its relaxed geometry, with properties calculated at the GGA-PBE level.

Results
Total DFT energy (no corrections) = -42.96 eV/f.u.
Energy relative to the elements = -0.076 eV/atom
Excess energy over the best structure of this formula in the dataset = 1.9 kJ/mol of atoms

Lattice parameters (Å, degrees): 3.219 3.219 6.572 90.00 90.00 90.00
Atoms (fractional coordinates):
Mo  0.000  0.000  0.016
Mo  0.500  0.500  0.251
Re  0.000  0.000  0.484
Zr  0.500  0.500  0.749

***

Below is crystalline Zr2Re2Mo at its relaxed geometry, with properties calculated at the GGA-PBE level.

Results
Total DFT energy (no corrections) = -52.54 eV/f.u.
Energy relative to the elements = 0.056 eV/atom
Excess energy over the best structure of this formula in the dataset = 0.0 kJ/mol of atoms

Lattice parameters (Å, degrees): 6.535 6.535 4.517 90.00 90.00 90.00
Atoms (fractional coordinates):
Re  0.135  0.365  0.000
Re  0.365  0.865  0.000
Re  0.865  0.635  0.000
Re  0.635  0.135  0.000
Zr  0.179  0.679  0.500
Zr  0.821  0.321  0.500
Zr  0.321  0.179  0.500
Zr  0.679  0.821  0.500
Mo  0.500  0.500  0.000
Mo  0.000  0.000  0.000

***

Below is crystalline Zr2ReMo at its relaxed geometry, with properties calculated at the GGA-PBE level.

Results
Total DFT energy (no corrections) = -40.30 eV/f.u.
Energy relative to the elements = 0.018 eV/atom

Lattice parameters (Å, degrees): 3.307 4.845 4.536 90.00 90.00 90.00
Atoms (fractional coordinates):
Zr  0.000  0.000  0.000
Zr  0.500  0.500  0.000
Mo  0.500  0.000  0.500
Re  0.000  0.500  0.500

***

Below is crystalline ZrReMo2 at its relaxed geometry, with properties calculated at the GGA-PBE level.

Results
Total DFT energy (no corrections) = -42.52 eV/f.u.
Energy relative to the elements = 0.033 eV/atom
Excess energy over the best structure of this formula in the dataset = 12.4 kJ/mol of atoms

Lattice parameters (Å, degrees): 2.814 2.814 9.091 90.00 90.00 110.61
Atoms (fractional coordinates):
Zr  0.500  0.500  0.746
Re  0.000  0.000  0.487
Mo  0.000  0.000  0.014
Mo  0.500  0.500  0.252

***

Below is crystalline Zr2ReMo at its relaxed geometry, with properties calculated at the GGA-PBE level.

Results
Total DFT energy (no corrections) = -40.48 eV/f.u.
Energy relative to the elements = -0.026 eV/atom

Lattice parameters (Å, degrees): 4.673 4.673 4.673 60.00 60.00 60.00
Atoms (fractional coordinates):
Zr  0.750  0.750  0.750
Zr  0.000  0.000  0.000
Mo  0.500  0.500  0.500
Re  0.250  0.250  0.250

***

Below is crystalline ZrRe2Mo at its relaxed geometry, with properties calculated at the GGA-PBE level.

Results
Total DFT energy (no corrections) = -44.57 eV/f.u.
Energy relative to the elements = -0.074 eV/atom
Excess energy over the best structure of this formula in the dataset = 3.9 kJ/mol of atoms

Lattice parameters (Å, degrees): 4.532 4.532 4.532 60.00 60.00 60.00
Atoms (fractional coordinates):
Re  0.250  0.250  0.250
Re  0.000  0.000  0.000
Zr  0.750  0.750  0.750
Mo  0.500  0.500  0.500

***

Below is crystalline Zr2ReMo3 at its relaxed geometry, with properties calculated at the GGA-PBE level.

Results
Total DFT energy (no corrections) = -63.33 eV/f.u.
Energy relative to the elements = -0.215 eV/atom

Lattice parameters (Å, degrees): 5.371 5.371 5.368 90.01 119.98 120.03
Atoms (fractional coordinates):
Zr  0.251  0.626  0.877
Zr  0.749  0.374  0.123
Mo  0.000  0.000  0.500
Mo  0.500  0.500  0.500
Mo  0.500  0.000  0.500
Re  0.000  0.000  0.000

***

Below is crystalline Zr4ReMo at its relaxed geometry, with properties calculated at the GGA-PBE level.

Results
Total DFT energy (no corrections) = -53.12 eV/f.u.
Energy relative to the elements = 0.725 eV/atom

Lattice parameters (Å, degrees): 5.547 5.547 5.547 60.00 60.00 60.00
Atoms (fractional coordinates):
Mo  0.750  0.750  0.750
Zr  0.375  0.876  0.375
Zr  0.375  0.375  0.876
Zr  0.876  0.375  0.375
Zr  0.375  0.375  0.375
Re  0.000  0.000  0.000

***

Below is crystalline Zr2ReMo at its relaxed geometry, with properties calculated at the GGA-PBE level.

Results
Total DFT energy (no corrections) = -40.30 eV/f.u.
Energy relative to the elements = 0.019 eV/atom

Lattice parameters (Å, degrees): 5.389 5.389 2.953 78.38 78.38 114.11
Atoms (fractional coordinates):
Mo  0.500  0.000  0.500
Re  0.000  0.500  0.500
Zr  0.000  0.000  0.000
Zr  0.500  0.500  0.000

***

Below is crystalline MoRh at its relaxed geometry, with properties calculated at the GGA-PBE level.

Results
Total DFT energy (no corrections) = -17.20 eV/f.u.
Energy relative to the elements = 0.490 eV/atom

Lattice parameters (Å, degrees): 7.284 7.559 9.516 90.00 90.00 90.00
Atoms (fractional coordinates):
Mo  0.084  0.250  0.250
Mo  0.416  0.750  0.750
Mo  0.666  0.000  0.000
Mo  0.084  0.750  0.750
Mo  0.584  0.250  0.750
Mo  0.416  0.250  0.250
Mo  0.334  0.500  0.500
Mo  0.584  0.750  0.250
Mo  0.834  0.000  0.500
Mo  0.916  0.250  0.750
Mo  0.666  0.500  0.500
Mo  0.834  0.500  0.000
Mo  0.166  0.000  0.500
Mo  0.334  0.000  0.000
Mo  0.916  0.750  0.250
Mo  0.166  0.500  0.000
Rh  0.750  0.078  0.250
Rh  0.750  0.578  0.750
Rh  0.500  0.672  0.000
Rh  0.250  0.922  0.250
Rh  0.500  0.328  0.000
Rh  0.000  0.672  0.500
Rh  0.000  0.172  0.000
Rh  0.750  0.922  0.750
Rh  0.250  0.578  0.250
Rh  0.250  0.078  0.750
Rh  0.000  0.328  0.500
Rh  0.250  0.422  0.750
Rh  0.500  0.828  0.500
Rh  0.750  0.422  0.250
Rh  0.500  0.172  0.500
Rh  0.000  0.828  0.000

***

Below is crystalline Mo2Rh at its relaxed geometry, with properties calculated at the GGA-PBE level.

Results
Total DFT energy (no corrections) = -27.76 eV/f.u.
Energy relative to the elements = 0.419 eV/atom

Lattice parameters (Å, degrees): 2.696 4.092 18.172 90.00 90.00 90.00
Atoms (fractional coordinates):
Mo  0.500  0.250  0.461
Mo  0.000  0.750  0.961
Mo  0.500  0.250  0.315
Mo  0.500  0.750  0.539
Mo  0.000  0.750  0.815
Mo  0.000  0.250  0.185
Mo  0.000  0.250  0.039
Mo  0.500  0.750  0.685
Rh  0.000  0.250  0.613
Rh  0.500  0.250  0.887
Rh  0.000  0.750  0.387
Rh  0.500  0.750  0.113

***

Below is crystalline Mo2Rh at its relaxed geometry, with properties calculated at the GGA-PBE level.

Results
Total DFT energy (no corrections) = -26.39 eV/f.u.
Energy relative to the elements = 0.873 eV/atom

Lattice parameters (Å, degrees): 4.518 4.518 2.685 90.00 90.00 90.00
Atoms (fractional coordinates):
Rh  0.000  0.000  0.000
Mo  0.500  0.000  0.500
Mo  0.000  0.500  0.500